(1)
Compound: SiRu
Source: the Alexandria database
Functional: GGA-PBEsol
Structure: relaxed

## Properties
Its crystal system is monoclinic. The total energy is -68.71 eV for the cell shown. The total moment is 0.0 μB per cell. As for the formation energy without anion corrections: -1.26 eV/f.u. The value obtained for the density of states at the Fermi level is 0.95 states/eV/f.u.

Cell and atoms, written as CIF:
```
data_SiRu
_cell_length_a 8.753
_cell_length_b 2.852
_cell_length_c 4.209
_cell_angle_alpha 90.00
_cell_angle_beta 106.55
_cell_angle_gamma 90.00
_space_group_name_H-M_alt 'C 1 2/m 1'
_space_group_IT_number 12
_space_group_name_Hall '-C 2y'
loop_
_atom_site_label
_atom_site_type_symbol
_atom_site_fract_x
_atom_site_fract_y
_atom_site_fract_z
Si1 Si 0.124 0.000 0.312
Ru1 Ru 0.119 0.500 0.799
```

(2)
Compound: LiMg2Al
Source: the Alexandria database
Functional: GGA-PBEsol
Structure: relaxed

## Properties
Its crystal system is monoclinic. The total energy is -9.51 eV for the cell shown. Its formation energy is -0.02 eV/f.u. The total moment is 0.0 μB per cell. The value obtained for the density of states at the Fermi level is 1.23 states/eV/f.u.

Cell and atoms, written as CIF:
```
data_LiMg2Al
_cell_length_a 2.980
_cell_length_b 4.693
_cell_length_c 5.584
_cell_angle_alpha 90.00
_cell_angle_beta 99.58
_cell_angle_gamma 90.00
_space_group_name_H-M_alt 'P 1 2/m 1'
_space_group_IT_number 10
_space_group_name_Hall '-P 2y'
loop_
_atom_site_label
_atom_site_type_symbol
_atom_site_fract_x
_atom_site_fract_y
_atom_site_fract_z
Li1 Li 0.000 0.000 0.000
Mg1 Mg 0.237 0.500 0.749
Al1 Al 0.500 0.000 0.500
```

(3)
Compound: Y2MgCd
Source: the Alexandria database
Functional: GGA-PBEsol
Structure: relaxed

## Properties
Its crystal system is orthorhombic. The total energy is -34.48 eV for the cell shown. Its formation energy is -0.68 eV/f.u. The total moment is 0.1 μB per cell. The value obtained for the density of states at the Fermi level is 5.47 states/eV/f.u.

Cell and atoms, written as CIF:
```
data_Y2MgCd
_cell_length_a 3.632
_cell_length_b 5.259
_cell_length_c 10.788
_cell_angle_alpha 90.00
_cell_angle_beta 90.00
_cell_angle_gamma 90.00
_space_group_name_H-M_alt 'I m m 2'
_space_group_IT_number 44
_space_group_name_Hall 'I 2 -2'
loop_
_atom_site_label
_atom_site_type_symbol
_atom_site_fract_x
_atom_site_fract_y
_atom_site_fract_z
Y1 Y 0.000 0.000 0.000
Y2 Y 0.000 0.500 0.226
Mg1 Mg 0.000 0.000 0.456
Cd1 Cd 0.000 0.500 0.750
```